i.
Computed, not measured: a relaxed structure of ScAl2S4 at the GGA-PBE level of DFT.

The structure in POSCAR format:
```
ScAl2S4
1.0
5.214 0.000 0.000
0.000 5.214 0.000
0.000 0.000 5.984
Sc Al S
1 2 4
direct
0.000 0.000 0.000 Sc
0.000 0.500 0.500 Al
0.500 0.000 0.500 Al
0.261 0.261 0.272 S
0.261 0.739 0.728 S
0.739 0.261 0.728 S
0.739 0.739 0.272 S
```

DOS at the Fermi energy (states/eV per cell): 3.67
Space group: No. 111



ii.
Computed, not measured: a relaxed structure of ScAl2S4 at the GGA-PBE level of DFT.

The structure in POSCAR format:
```
ScAl2S4
1.0
-3.577 3.671 5.187
3.577 -3.671 5.187
3.577 3.671 -5.187
Sc Al S
2 4 8
direct
0.500 0.000 0.000 Sc
0.500 0.500 0.500 Sc
0.000 0.000 0.000 Al
0.122 0.372 0.750 Al
0.500 0.000 0.500 Al
0.878 0.628 0.250 Al
0.239 0.238 0.000 S
0.252 0.236 0.485 S
0.252 0.767 0.015 S
0.262 0.762 0.500 S
0.738 0.238 0.500 S
0.748 0.233 0.985 S
0.748 0.764 0.515 S
0.761 0.762 0.000 S
```

DOS at the Fermi energy (states/eV per cell): 4.89
Space group: No. 74



ii is the most stable structure shown above.